# 1
TaTlCu2: optimized geometry, PBE.

Cell lengths 5.151, 5.151, 4.917 Å; angles 107.92, 107.92, 32.48 degrees
Positions (direct):
Ta 0.000 0.000 0.000
Tl 0.218 0.218 0.643
Cu 0.461 0.461 0.465
Cu 0.752 0.752 0.162

Output
Energy relative to the lowest polymorph listed for this composition: 143 meV per atom
ΔH_f (0 K): 0.44 eV/atom
V: 16.59 A^3/atom

***

# 2
TaTlCu2: optimized geometry, PBE.

Cell lengths 5.533, 5.533, 5.533 Å; angles 149.40, 129.29, 60.40 degrees
Positions (direct):
Ta 0.000 0.000 0.000
Tl 0.277 0.777 0.500
Cu 0.527 0.527 0.000
Cu 0.746 0.246 0.500

Output
Energy relative to the lowest polymorph listed for this composition: 158 meV per atom
ΔH_f (0 K): 0.46 eV/atom
V: 16.54 A^3/atom

***

# 3
TaTlCu2: optimized geometry, PBE.

Cell lengths 4.989, 4.989, 2.857 Å; angles 90.00, 90.00, 107.50 degrees
Positions (direct):
Ta 0.000 0.000 0.000
Tl 0.500 0.500 0.000
Cu 0.000 0.500 0.500
Cu 0.500 0.000 0.500

Output
Energy relative to the lowest polymorph listed for this composition: 174 meV per atom
ΔH_f (0 K): 0.48 eV/atom
V: 16.95 A^3/atom

***

# 4
TaTlCu2: optimized geometry, PBE.

Cell lengths 5.793, 5.793, 5.793 Å; angles 104.22, 104.22, 120.58 degrees
Positions (direct):
Ta 0.000 0.000 0.000
Ta 0.750 0.250 0.500
Tl 0.250 0.750 0.500
Tl 0.500 0.500 0.000
Cu 0.115 0.625 0.990
Cu 0.375 0.365 0.490
Cu 0.635 0.125 0.010
Cu 0.875 0.885 0.510

Output
Energy relative to the lowest polymorph listed for this composition: 413 meV per atom
ΔH_f (0 K): 0.71 eV/atom
V: 18.17 A^3/atom

***

It is found that the total magnetic moment values, taken in the order of the records, are 0.000; 0.000; 0.000; 0.000 μB per atom.